VASP calculation (SCAN) on NbCd2FeRu at its PBEsol-relaxed geometry.

Properties
The formation energy comes out at 1.29 eV per atom. Its final energy is -28.097 eV/atom.

Unit cell a=4.206 b=4.970 c=4.970 alpha=90.00 beta=90.00 gamma=90.00
Site moments in Bohr magnetons follow the coordinates.
Sites, in units of the cell vectors:
1 Fe 0.500 0.000 0.000  2.32
2 Nb 0.500 0.500 0.500  1.88
3 Cd 0.000 0.000 0.500  -0.01
4 Cd 0.000 0.500 0.000  -0.01
5 Ru 0.000 0.000 0.000  0.28

***

VASP calculation (SCAN) on Y2Ni at its PBEsol-relaxed geometry.

Properties
The formation energy comes out at -0.25 eV per atom. Its final energy is -24.201 eV/atom.

Unit cell a=4.718 b=7.050 c=7.050 alpha=120.00 beta=90.00 gamma=90.00
Sites, in units of the cell vectors:
1 Y 0.000 0.269 0.000
2 Y 0.000 0.731 0.731
3 Y 0.500 0.402 0.402
4 Y 0.500 0.000 0.598
5 Y 0.000 0.000 0.269
6 Y 0.500 0.598 0.000
7 Ni 0.000 0.667 0.333
8 Ni 0.000 0.333 0.667
9 Ni 0.500 0.000 0.000

***

VASP calculation (SCAN) on NaCO3 at its PBEsol-relaxed geometry.

Properties
For the formation energy without anion corrections, the calculation gives -1.47 eV per atom. Its final energy is -8.067 eV/atom.

Unit cell a=5.094 b=5.094 c=6.442 alpha=66.71 beta=66.71 gamma=60.00
Site moments in Bohr magnetons follow the coordinates.
Sites, in units of the cell vectors:
1 Na 0.000 0.000 0.000  0.00
2 Na 0.500 0.500 0.500  0.00
3 C 0.750 0.750 0.750  -0.03
4 C 0.250 0.250 0.250  -0.03
5 O 0.250 0.000 0.250  0.32
6 O 0.500 0.250 0.250  0.32
7 O 0.000 0.500 0.750  0.32
8 O 0.000 0.500 0.250  0.32
9 O 0.750 0.000 0.750  0.32
10 O 0.500 0.750 0.750  0.32

***

VASP calculation (SCAN) on Cs2KNdCl6 at its PBEsol-relaxed geometry.

Properties
For the formation energy without anion corrections, the calculation gives -2.38 eV per atom. Its final energy is -19.922 eV/atom.

Unit cell a=7.969 b=7.969 c=7.969 alpha=60.00 beta=60.00 gamma=60.00
Sites, in units of the cell vectors:
1 Cs 0.250 0.250 0.250
2 Cs 0.750 0.750 0.750
3 K 0.500 0.500 0.500
4 Cl 0.239 0.239 0.761
5 Cl 0.239 0.761 0.239
6 Cl 0.239 0.761 0.761
7 Cl 0.761 0.239 0.761
8 Cl 0.761 0.239 0.239
9 Cl 0.761 0.761 0.239
10 Nd 0.000 0.000 0.000

***

VASP calculation (SCAN) on CdAsSe2F at its PBEsol-relaxed geometry.

Properties
For the formation energy without anion corrections, the calculation gives 0.21 eV per atom. Its final energy is -18.650 eV/atom.

Unit cell a=3.949 b=5.055 c=5.055 alpha=90.00 beta=90.00 gamma=90.00
Sites, in units of the cell vectors:
1 Se 0.000 0.000 0.500
2 Se 0.000 0.500 0.000
3 As 0.500 0.000 0.000
4 Cd 0.500 0.500 0.500
5 F 0.000 0.000 0.000

***

VASP calculation (SCAN) on Te2PdCl at its PBEsol-relaxed geometry.

Properties
For the formation energy without anion corrections, the calculation gives -0.39 eV per atom. Its final energy is -29.204 eV/atom.

Unit cell a=4.083 b=4.083 c=8.295 alpha=75.75 beta=75.75 gamma=60.00
Sites, in units of the cell vectors:
1 Pd 0.500 0.500 0.500
2 Cl 0.000 0.000 0.000
3 Te 0.887 0.887 0.338
4 Te 0.113 0.113 0.662

***

VASP calculation (SCAN) on MnAgOsPt2 at its PBEsol-relaxed geometry.

Properties
The formation energy comes out at 1.06 eV per atom. Its final energy is -51.316 eV/atom.

Unit cell a=4.446 b=4.803 c=4.803 alpha=90.00 beta=90.00 gamma=90.00
Site moments in Bohr magnetons follow the coordinates.
Sites, in units of the cell vectors:
1 Ag 0.500 0.500 0.500  0.00
2 Os 0.000 0.000 0.000  -0.31
3 Pt 0.000 0.500 0.000  -0.11
4 Pt 0.000 0.000 0.500  -0.11
5 Mn 0.500 0.000 0.000  3.81

***

VASP calculation (SCAN) on RbLiP2Au at its PBEsol-relaxed geometry.

Properties
The formation energy comes out at 1.67 eV per atom. Its final energy is -20.948 eV/atom.

Unit cell a=4.599 b=5.296 c=5.296 alpha=90.00 beta=90.00 gamma=90.00
Sites, in units of the cell vectors:
1 P 0.000 0.500 0.000
2 P 0.000 0.000 0.500
3 Au 0.500 0.500 0.500
4 Rb 0.000 0.000 0.000
5 Li 0.500 0.000 0.000

***

Calculated values (g/cm3) of calculated density for the records, taken in order: 7.6, 5.8, 2.1, 3.1, 6.0, 5.7, 12.0, 4.5.